{"formula": "MgGa2Cu", "functional": "PBE-GGA", "state": "optimized geometry", "lattice": [[3.153, 0.000, 0.000], [0.000, 3.153, 0.000], [0.000, 0.000, 6.739]], "species": ["Mg", "Ga", "Ga", "Cu"], "fractional_positions": [[0.000, 0.000, 0.000], [0.500, 0.500, 0.286], [0.500, 0.500, 0.714], [0.000, 0.000, 0.500]], "space_group": "P4/mmm (123)", "delta_e_f_ev_per_atom": -0.066}



{"formula": "Cu2IrSe", "functional": "PBE-GGA", "state": "optimized geometry", "lattice": [[2.961, 0.000, 0.000], [0.000, 4.275, 0.000], [0.000, 0.000, 4.571]], "species": ["Cu", "Cu", "Ir", "Se"], "fractional_positions": [[0.000, 0.000, 0.000], [0.000, 0.500, 0.299], [0.500, 0.500, 0.808], [0.500, 0.000, 0.530]], "total_energy_ev_per_atom": -4.9006, "space_group": "Pmm2 (25)"}



{"formula": "CsAlRu3", "functional": "PBE-GGA", "state": "optimized geometry", "lattice": [[4.782, 0.000, 0.000], [0.000, 4.782, 0.000], [0.000, 0.000, 4.782]], "species": ["Cs", "Al", "Ru", "Ru", "Ru"], "fractional_positions": [[0.000, 0.000, 0.000], [0.500, 0.500, 0.500], [0.000, 0.500, 0.500], [0.500, 0.000, 0.500], [0.500, 0.500, 0.000]], "space_group": "Pm-3m (221)", "relative_energy_kj_per_mol_fu": 0.0, "delta_e_f_ev_per_atom": 1.434}



{"formula": "Li2YAgAu2", "functional": "PBE-GGA", "state": "optimized geometry", "lattice": [[4.487, 0.000, 0.000], [-2.244, 3.886, 0.000], [0.000, 0.000, 6.507]], "species": ["Li", "Li", "Y", "Ag", "Au", "Au"], "fractional_positions": [[0.333, 0.667, 0.154], [0.667, 0.333, 0.846], [0.000, 0.000, 0.500], [0.000, 0.000, 0.000], [0.333, 0.667, 0.742], [0.667, 0.333, 0.258]], "space_group": "P-3m1 (164)", "delta_e_f_ev_per_atom": -0.546}